# NdY2Te3 (PBE-GGA, optimized geometry)
data_NdY2Te3
_cell_length_a 4.3865
_cell_length_b 4.3865
_cell_length_c 10.8665
_cell_angle_alpha 90.00
_cell_angle_beta 90.00
_cell_angle_gamma 120.00
_space_group_name_H-M_alt 'P -3 m 1'
_space_group_IT_number 164
_space_group_name_Hall '-P 3 2"'
loop_
_atom_site_label
_atom_site_type_symbol
_atom_site_fract_x
_atom_site_fract_y
_atom_site_fract_z
Nd1 Nd 0.0000 0.0000 0.0000
Y1 Y 0.3333 0.6667 0.6636
Te1 Te 0.0000 0.0000 0.5000
Te2 Te 0.3333 0.6667 0.1767
# Calculated total energy, eV per cell: -35.2


# ZrAlNO (PBE-GGA, optimized geometry)
data_ZrAlNO
_cell_length_a 5.870
_cell_length_b 7.077
_cell_length_c 4.693
_cell_angle_alpha 90.00
_cell_angle_beta 90.00
_cell_angle_gamma 90.00
_space_group_name_H-M_alt 'P c a 21'
_space_group_IT_number 29
loop_
_space_group_symop_operation_xyz
'x,y,z'
'-x,-y,z+1/2'
'-x+1/2,y,z+1/2'
'x+1/2,-y,z'
loop_
_atom_site_label
_atom_site_type_symbol
_atom_site_fract_x
_atom_site_fract_y
_atom_site_fract_z
Zr1 Zr 0.061 0.133 0.000
Al1 Al 0.109 0.636 0.009
N1 N 0.079 0.150 0.485
O1 O 0.102 0.546 0.640
# ΔE to the lowest computed polymorph, eV/f.u.: 0.368


# BeCdW2 (PBE-GGA, optimized geometry)
data_BeCdW2
_cell_length_a 6.301
_cell_length_b 6.301
_cell_length_c 6.301
_cell_angle_alpha 90.00
_cell_angle_beta 90.00
_cell_angle_gamma 90.00
_space_group_name_H-M_alt 'F -4 3 m'
_space_group_IT_number 216
_space_group_name_Hall 'F -4 2 3'
loop_
_atom_site_label
_atom_site_type_symbol
_atom_site_fract_x
_atom_site_fract_y
_atom_site_fract_z
Be1 Be 0.000 0.000 0.000
Cd1 Cd 0.250 0.250 0.250
W1 W 0.000 0.000 0.500
W2 W 0.250 0.250 0.750
# Calculated total energy, eV per cell: -111.5


# Zr2SeSI2 (PBE-GGA, optimized geometry)
data_Zr2SeSI2
_cell_length_a 3.878
_cell_length_b 6.846
_cell_length_c 14.108
_cell_angle_alpha 90.00
_cell_angle_beta 90.00
_cell_angle_gamma 90.00
_space_group_name_H-M_alt 'P m n 21'
_space_group_IT_number 31
loop_
_space_group_symop_operation_xyz
'x,y,z'
'-x+1/2,-y,z+1/2'
'-x,y,z'
'x+1/2,-y,z+1/2'
loop_
_atom_site_label
_atom_site_type_symbol
_atom_site_fract_x
_atom_site_fract_y
_atom_site_fract_z
Zr1 Zr 0.000 0.026 0.000
Zr2 Zr 0.000 0.583 0.486
Se1 Se 0.000 0.312 0.869
S1 S 0.000 0.873 0.601
I1 I 0.000 0.197 0.372
I2 I 0.000 0.638 0.113
# ΔE to the lowest computed polymorph, eV/f.u.: 0.000


# CdBi2O4 (PBE-GGA, optimized geometry)
data_CdBi2O4
_cell_length_a 14.325
_cell_length_b 14.325
_cell_length_c 9.337
_cell_angle_alpha 90.00
_cell_angle_beta 90.00
_cell_angle_gamma 90.00
_space_group_name_H-M_alt 'I 41/a m d'
_space_group_IT_number 141
loop_
_space_group_symop_operation_xyz
'x,y,z'
'-x,-y,-z'
'-y+1/4,x+3/4,z+1/4'
'y+1/4,-x+3/4,-z+1/4'
'-x+1/2,-y,z+1/2'
'x+1/2,y,-z+1/2'
'y+1/4,-x+1/4,z+3/4'
'-y+1/4,x+1/4,-z+3/4'
'x,-y,-z'
'-x,y,z'
'-y+1/4,-x+1/4,-z+3/4'
'y+1/4,x+1/4,z+3/4'
'-x+1/2,y,-z+1/2'
'x+1/2,-y,z+1/2'
'y+1/4,x+3/4,-z+1/4'
'-y+1/4,-x+3/4,z+1/4'
'x+1/2,y+1/2,z+1/2'
'-x+1/2,-y+1/2,-z+1/2'
'-y+3/4,x+1/4,z+3/4'
'y+3/4,-x+1/4,-z+3/4'
'-x,-y+1/2,z'
'x,y+1/2,-z'
'y+3/4,-x+3/4,z+1/4'
'-y+3/4,x+3/4,-z+1/4'
'x+1/2,-y+1/2,-z+1/2'
'-x+1/2,y+1/2,z+1/2'
'-y+3/4,-x+3/4,-z+1/4'
'y+3/4,x+3/4,z+1/4'
'-x,y+1/2,-z'
'x,-y+1/2,z'
'y+3/4,x+1/4,-z+3/4'
'-y+3/4,-x+1/4,z+3/4'
loop_
_atom_site_label
_atom_site_type_symbol
_atom_site_fract_x
_atom_site_fract_y
_atom_site_fract_z
Cd1 Cd 0.109 0.000 0.000
Bi1 Bi 0.000 0.112 0.716
Bi2 Bi 0.153 0.097 0.375
O1 O 0.000 0.023 0.197
O2 O 0.106 0.144 0.875
O3 O 0.152 0.052 0.617
# ΔE to the lowest computed polymorph, eV/f.u.: 0.000


# RbHgNO (PBE-GGA, optimized geometry)
data_RbHgNO
_cell_length_a 3.628
_cell_length_b 7.126
_cell_length_c 6.821
_cell_angle_alpha 90.00
_cell_angle_beta 90.00
_cell_angle_gamma 90.00
_space_group_name_H-M_alt 'P m c 21'
_space_group_IT_number 26
loop_
_space_group_symop_operation_xyz
'x,y,z'
'-x,-y,z+1/2'
'-x,y,z'
'x,-y,z+1/2'
loop_
_atom_site_label
_atom_site_type_symbol
_atom_site_fract_x
_atom_site_fract_y
_atom_site_fract_z
Rb1 Rb 0.000 0.174 0.000
Hg1 Hg 0.500 0.364 0.466
N1 N 0.500 0.405 0.771
O1 O 0.000 0.194 0.402
# ΔE to the lowest computed polymorph, eV/f.u.: 0.439